[1]
# NdMgTlRh (GGA-PBE, relaxed)
# M_tot   0.00 μB/f.u.
# Crystal system   cubic
# D(E_F)   12.81 states/eV per cell
# Formation enthalpy at 0 K   -0.3013 eV/atom
data_NdMgTlRh
_cell_length_a 7.123
_cell_length_b 7.123
_cell_length_c 7.123
_cell_angle_alpha 90.00
_cell_angle_beta 90.00
_cell_angle_gamma 90.00
_symmetry_space_group_name_H-M 'F -4 3 m'
_symmetry_Int_Tables_number 216
_symmetry_space_group_name_Hall 'F -4 2 3'
loop_
_atom_site_label
_atom_site_fract_x
_atom_site_fract_y
_atom_site_fract_z
Nd1 0.000 0.000 0.000
Mg1 0.000 0.000 0.500
Tl1 0.250 0.250 0.750
Rh1 0.250 0.250 0.250

=====

[2]
# Zr2GaCo3 (GGA-PBE, relaxed)
# M_tot   0.00 μB/f.u.
# Crystal system   hexagonal
# D(E_F)   9.38 states/eV per cell
# Formation enthalpy at 0 K   -0.4273 eV/atom
data_Zr2GaCo3
_cell_length_a 5.0809
_cell_length_b 5.0809
_cell_length_c 7.7583
_cell_angle_alpha 90.00
_cell_angle_beta 90.00
_cell_angle_gamma 120.00
_symmetry_space_group_name_H-M 'P 63/m m c'
_symmetry_Int_Tables_number 194
_symmetry_space_group_name_Hall '-P 6c 2c'
loop_
_atom_site_label
_atom_site_fract_x
_atom_site_fract_y
_atom_site_fract_z
Zr1 0.3333 0.6667 0.0612
Ga1 0.0000 0.0000 0.0000
Co1 0.1721 0.3442 0.7500

=====

[3]
# RbGa4Sn4 (GGA-PBE, relaxed)
# M_tot   0.00 μB/f.u.
# Crystal system   tetragonal
# D(E_F)   8.87 states/eV per cell
# Formation enthalpy at 0 K   -0.0186 eV/atom
data_RbGa4Sn4
_cell_length_a 7.125
_cell_length_b 7.125
_cell_length_c 9.864
_cell_angle_alpha 90.00
_cell_angle_beta 90.00
_cell_angle_gamma 90.00
_symmetry_space_group_name_H-M 'P 42/n m c'
_symmetry_Int_Tables_number 137
loop_
_symmetry_equiv_pos_as_xyz
'x,y,z'
'-x,-y,-z'
'-y+1/2,x,z+1/2'
'y+1/2,-x,-z+1/2'
'-x+1/2,-y+1/2,z'
'x+1/2,y+1/2,-z'
'y,-x+1/2,z+1/2'
'-y,x+1/2,-z+1/2'
'x+1/2,-y,-z'
'-x+1/2,y,z'
'-y,-x,-z+1/2'
'y,x,z+1/2'
'-x,y+1/2,-z'
'x,-y+1/2,z'
'y+1/2,x+1/2,-z+1/2'
'-y+1/2,-x+1/2,z+1/2'
loop_
_atom_site_label
_atom_site_fract_x
_atom_site_fract_y
_atom_site_fract_z
Rb1 0.250 0.750 0.250
Ga1 0.057 0.250 0.103
Sn1 0.020 0.250 0.396